DFT (PBE-GGA) results for a relaxed structure of CdPdS2O8.

Unit cell a=4.8289 b=4.8289 c=7.8060 alpha=71.98 beta=71.98 gamma=60.00
Site moments in Bohr magnetons follow the coordinates.
Sites, in units of the cell vectors:
1 Cd 0.0000 0.0000 0.0000  0.01
2 Pd 0.5000 0.5000 0.5000  1.33
3 S 0.7444 0.7444 0.7668  0.00
4 S 0.2556 0.2556 0.2332  0.00
5 O 0.6760 0.6760 0.9721  0.03
6 O 0.3240 0.3240 0.0279  0.03
7 O 0.5312 0.2280 0.2972  0.07
8 O 0.7720 0.4688 0.7028  0.07
9 O 0.0565 0.7720 0.7028  0.07
10 O 0.2280 0.9435 0.2972  0.07
11 O 0.9435 0.5312 0.2972  0.07
12 O 0.4688 0.0565 0.7028  0.07

DFT (PBE-GGA) results for a relaxed structure of Cd2SbPdO6.

Summary:
N(E_F) in states/eV per cell: 0.52

Unit cell a=5.3894 b=5.5445 c=8.4461 alpha=90.00 beta=89.31 gamma=90.00
Site moments in Bohr magnetons follow the coordinates.
Sites, in units of the cell vectors:
1 Cd 0.0233 0.9489 0.2536  0.00
2 Cd 0.5233 0.5511 0.7536  0.00
3 Cd 0.9767 0.0511 0.7464  0.00
4 Cd 0.4767 0.4489 0.2464  0.00
5 Sb 0.5000 0.0000 0.5000  0.01
6 Sb 0.0000 0.5000 0.0000  0.01
7 Pd 0.5000 0.0000 0.0000  0.56
8 Pd 0.0000 0.5000 0.5000  0.56
9 O 0.2906 0.7103 0.0670  0.03
10 O 0.7906 0.7897 0.5670  0.03
11 O 0.7094 0.2897 0.9330  0.03
12 O 0.2094 0.2103 0.4330  0.03
13 O 0.2951 0.7128 0.4230  0.04
14 O 0.7951 0.7872 0.9230  0.04
15 O 0.7049 0.2872 0.5770  0.04
16 O 0.2049 0.2128 0.0770  0.04
17 O 0.8772 0.5488 0.2235  0.12
18 O 0.3772 0.9512 0.7235  0.12
19 O 0.1228 0.4512 0.7765  0.12
20 O 0.6228 0.0488 0.2765  0.12

DFT (PBE-GGA) results for a relaxed structure of Sm2CdPdO5.

Unit cell a=5.7779 b=6.6720 c=6.6720 alpha=90.00 beta=90.00 gamma=90.00
Sites, in units of the cell vectors:
1 Sm 0.5000 0.6719 0.1719
2 Sm 0.5000 0.1719 0.3281
3 Sm 0.5000 0.8281 0.6719
4 Sm 0.5000 0.3281 0.8281
5 Cd 0.0000 0.5000 0.5000
6 Cd 0.0000 0.0000 0.0000
7 Pd 0.0000 0.0000 0.5000
8 Pd 0.0000 0.5000 0.0000
9 O 0.5000 0.5000 0.5000
10 O 0.5000 0.0000 0.0000
11 O 0.2521 0.1439 0.6439
12 O 0.2521 0.8561 0.3561
13 O 0.2521 0.3561 0.1439
14 O 0.2521 0.6439 0.8561
15 O 0.7479 0.1439 0.6439
16 O 0.7479 0.6439 0.8561
17 O 0.7479 0.8561 0.3561
18 O 0.7479 0.3561 0.1439

DFT (PBE-GGA) results for a relaxed structure of SmCdPdO4.

Summary:
N(E_F) in states/eV per cell: 5.67

Unit cell a=7.0051 b=6.5134 c=7.0341 alpha=122.68 beta=90.00 gamma=122.53
Sites, in units of the cell vectors:
1 Sm 0.5000 0.0000 0.5000
2 Sm 0.5000 0.0000 0.0000
3 Cd 0.9013 0.8026 0.1513
4 Cd 0.0987 0.1974 0.8487
5 Pd 0.5000 0.5000 0.5000
6 Pd 0.0000 0.5000 0.5000
7 O 0.7751 0.5501 0.7212
8 O 0.2906 0.0134 0.2567
9 O 0.7227 0.0134 0.2567
10 O 0.7751 0.5501 0.3290
11 O 0.2249 0.4499 0.6710
12 O 0.7094 0.9866 0.7433
13 O 0.2773 0.9866 0.7433
14 O 0.2249 0.4499 0.2788

DFT (PBE-GGA) results for a relaxed structure of Sr3Cd3PdO8.

Unit cell a=6.9362 b=6.9373 c=6.9081 alpha=120.14 beta=90.00 gamma=119.99
Sites, in units of the cell vectors:
1 Sr 0.0000 0.0000 0.0000
2 Sr 0.0000 0.5000 0.0000
3 Sr 0.5000 0.5000 0.0000
4 Cd 0.5000 0.0000 0.5000
5 Cd 0.5000 0.5000 0.5000
6 Cd 0.0000 0.5000 0.5000
7 Pd 0.0000 0.0000 0.5000
8 O 0.2541 0.5081 0.2623
9 O 0.7459 0.4919 0.7377
10 O 0.7867 0.5735 0.2975
11 O 0.2133 0.4265 0.7025
12 O 0.7866 0.0107 0.2974
13 O 0.2134 0.9893 0.7026
14 O 0.2241 0.0107 0.2974
15 O 0.7759 0.9893 0.7026

DFT (PBE-GGA) results for a relaxed structure of Sr2CdPdO4.

Unit cell a=5.4855 b=5.4855 c=5.4855 alpha=105.39 beta=111.55 gamma=111.55
Sites, in units of the cell vectors:
1 Sr 0.5000 0.7500 0.2500
2 Sr 0.0000 0.0000 0.0000
3 Cd 0.0000 0.5000 0.5000
4 Pd 0.5000 0.2500 0.7500
5 O 0.6017 0.5039 0.5445
6 O 0.0406 0.0977 0.4961
7 O 0.9594 0.4555 0.0572
8 O 0.3983 0.9428 0.9023

DFT (PBE-GGA) results for a relaxed structure of Sr3Cd2PdO6.

Summary:
N(E_F) in states/eV per cell: 2.92

Unit cell a=5.8940 b=5.8940 c=6.5884 alpha=90.00 beta=90.00 gamma=120.00
Sites, in units of the cell vectors:
1 Sr 0.3333 0.6667 0.5994
2 Sr 0.6667 0.3333 0.4006
3 Sr 0.0000 0.0000 0.0000
4 Cd 0.6667 0.3333 0.8900
5 Cd 0.3333 0.6667 0.1100
6 Pd 0.0000 0.0000 0.5000
7 O 0.6774 0.8387 0.3129
8 O 0.1613 0.3226 0.3129
9 O 0.1613 0.8387 0.3129
10 O 0.8387 0.6774 0.6871
11 O 0.3226 0.1613 0.6871
12 O 0.8387 0.1613 0.6871

DFT (PBE-GGA) results for a relaxed structure of CdTe2PdO8.

Summary:
N(E_F) in states/eV per cell: 6.05

Unit cell a=6.1601 b=6.1601 c=6.1601 alpha=107.66 beta=107.66 gamma=113.15
Site moments in Bohr magnetons follow the coordinates.
Sites, in units of the cell vectors:
1 Cd 0.0000 0.0000 0.0000  0.01
2 Te 0.7500 0.2500 0.5000  0.00
3 Te 0.5000 0.5000 0.0000  0.01
4 Pd 0.2500 0.7500 0.5000  1.24
5 O 0.3797 0.0704 0.3093  0.06
6 O 0.3175 0.5121 0.1945  0.09
7 O 0.3175 0.1230 0.8055  0.09
8 O 0.7611 0.0704 0.6907  0.06
9 O 0.8770 0.6825 0.1945  0.09
10 O 0.9296 0.2389 0.3093  0.06
11 O 0.9296 0.6203 0.6907  0.06
12 O 0.4879 0.6825 0.8055  0.09

DFT (PBE-GGA) results for a relaxed structure of CdTePdO6.

Unit cell a=5.2418 b=5.2418 c=9.8391 alpha=90.00 beta=90.00 gamma=120.00
Sites, in units of the cell vectors:
1 Cd 0.0000 0.0000 0.0000
2 Cd 0.0000 0.0000 0.5000
3 Te 0.6667 0.3333 0.2500
4 Te 0.3333 0.6667 0.7500
5 Pd 0.3333 0.6667 0.2500
6 Pd 0.6667 0.3333 0.7500
7 O 0.6393 0.6306 0.1389
8 O 0.9913 0.3607 0.1389
9 O 0.3607 0.9913 0.6389
10 O 0.0087 0.6393 0.8611
11 O 0.3694 0.3607 0.3611
12 O 0.9913 0.6306 0.3611
13 O 0.6306 0.9913 0.8611
14 O 0.6393 0.0087 0.3611
15 O 0.0087 0.3694 0.6389
16 O 0.3694 0.0087 0.1389
17 O 0.6306 0.6393 0.6389
18 O 0.3607 0.3694 0.8611

DFT (PBE-GGA) results for a relaxed structure of Cd2TePdO6.

Unit cell a=5.0150 b=5.4004 c=5.9673 alpha=116.90 beta=111.03 gamma=90.00
Sites, in units of the cell vectors:
1 Cd 0.2103 0.2365 0.4731
2 Cd 0.7897 0.7635 0.5269
3 Te 0.0000 0.5000 0.0000
4 Pd 0.5000 0.0000 0.0000
5 O 0.3164 0.6768 0.3536
6 O 0.1676 0.1605 0.8289
7 O 0.8324 0.3316 0.1711
8 O 0.1676 0.6684 0.8289
9 O 0.8324 0.8395 0.1711
10 O 0.6836 0.3232 0.6464

DFT (PBE-GGA) results for a relaxed structure of TlCdPdO4.

Summary:
N(E_F) in states/eV per cell: 6.62

Unit cell a=6.6730 b=6.5951 c=6.6746 alpha=120.42 beta=89.98 gamma=120.41
Sites, in units of the cell vectors:
1 Tl 0.5000 0.0000 0.5000
2 Tl 0.5000 0.0000 0.0000
3 Cd 0.8786 0.7571 0.1285
4 Cd 0.1214 0.2429 0.8715
5 Pd 0.5000 0.5000 0.5000
6 Pd 0.0000 0.5000 0.5000
7 O 0.7498 0.4994 0.7065
8 O 0.2920 0.0546 0.2773
9 O 0.7625 0.0545 0.2772
10 O 0.7496 0.4994 0.2928
11 O 0.2504 0.5006 0.7072
12 O 0.7080 0.9454 0.7227
13 O 0.2375 0.9455 0.7228
14 O 0.2502 0.5006 0.2935

DFT (PBE-GGA) results for a relaxed structure of UCdPdO6.

Unit cell a=5.3838 b=5.3838 c=9.9225 alpha=90.00 beta=90.00 gamma=120.00
Sites, in units of the cell vectors:
1 U 0.3333 0.6667 0.2500
2 U 0.6667 0.3333 0.7500
3 Cd 0.0000 0.0000 0.0000
4 Cd 0.0000 0.0000 0.5000
5 Pd 0.6667 0.3333 0.2500
6 Pd 0.3333 0.6667 0.7500
7 O 0.6499 0.6427 0.1375
8 O 0.9928 0.3501 0.1375
9 O 0.3501 0.9928 0.6375
10 O 0.0072 0.6499 0.8625
11 O 0.3573 0.3501 0.3625
12 O 0.9928 0.6427 0.3625
13 O 0.6427 0.9928 0.8625
14 O 0.6499 0.0072 0.3625
15 O 0.0072 0.3573 0.6375
16 O 0.3573 0.0072 0.1375
17 O 0.6427 0.6499 0.6375
18 O 0.3501 0.3573 0.8625

Raw formation energy in eV per atom, matching the order above: -0.9571, -0.9657, -2.0247, -1.5505, -1.6127, -1.6622, -1.4904, -0.5265, -0.8440, -0.9142, -0.6331, -1.7019